Computed, not measured: a relaxed VGaPb2O6 crystal at the PBE with a Hubbard U level of DFT.

Output
Its total energy is -125.4 eV per cell. The space group is P2_1/c.

abc: 5.5772 5.5577 7.8297
angles: 90.00 90.08 90.00
Fractional coordinates of all 20 atoms:
Ga: 0.0000 0.5000 0.5000
Ga: 0.5000 0.0000 0.0000
O: 0.2396 0.2525 0.0180
O: 0.7604 0.7475 0.9820
O: 0.9661 0.5004 0.2435
O: 0.7534 0.2596 0.9820
O: 0.4661 0.9996 0.7435
O: 0.2466 0.7404 0.0180
O: 0.7396 0.2475 0.5180
O: 0.7466 0.7596 0.5180
O: 0.2534 0.2404 0.4820
O: 0.5339 0.0004 0.2565
O: 0.0339 0.4996 0.7565
O: 0.2604 0.7525 0.4820
Pb: 0.9975 0.0014 0.7502
Pb: 0.4975 0.4986 0.2502
Pb: 0.0025 0.9986 0.2498
Pb: 0.5025 0.5014 0.7498
V: 0.5000 0.0000 0.5000
V: 0.0000 0.5000 0.0000